## Ce2SbPd2 (PBE)

Data for Ce2SbPd2 after structural relaxation.

uncorrected formation energy: -0.8770 eV per atom
energy above the lowest structure with this stoichiometry: 0.00 eV per formula unit
SG: P4/mbm (127)
D(E_F): 2.107 states/eV per atom
crystal system: tetragonal

Lattice parameters (Å, degrees): 3.9860 7.6303 7.6303 90.00 90.00 90.00
With the nearest neighbours (Å) after each atom.
Positions (direct):
Ce (0.5000, 0.1789, 0.6789)  6 Pd 2.89-3.10
Ce (0.5000, 0.6789, 0.8211)  6 Pd 2.89-3.10
Ce (0.5000, 0.8211, 0.3211)  6 Pd 2.89-3.10
Ce (0.5000, 0.3211, 0.1789)  6 Pd 2.89-3.10
Sb (0.0000, 0.0000, 0.0000)  4 Pd 3.00
Sb (0.0000, 0.5000, 0.5000)  4 Pd 3.00
Pd (0.0000, 0.3726, 0.8726)  1 Pd 2.75, 2 Ce 2.89, 2 Sb 3.00
Pd (0.0000, 0.8726, 0.6274)  1 Pd 2.75, 2 Ce 2.89, 2 Sb 3.00
Pd (0.0000, 0.6274, 0.1274)  1 Pd 2.75, 2 Ce 2.89, 2 Sb 3.00
Pd (0.0000, 0.1274, 0.3726)  1 Pd 2.75, 2 Ce 2.89, 2 Sb 3.00